No. 1
# Ba2CuGeI, optimized geometry, DFT PBE
# **Formation energy from raw total energies**: -3.334 eV per formula unit
# **Spin magnetization**: 0.0 μB per formula unit
data_Ba2CuGeI
_space_group_name_H-M_alt 'P 4/m m m'
_space_group_IT_number 123
_space_group_name_Hall '-P 4 2'
_cell_length_a 6.340
_cell_length_b 6.340
_cell_length_c 4.474
_cell_angle_alpha 90.00
_cell_angle_beta 90.00
_cell_angle_gamma 90.00
loop_
_atom_site_label
_atom_site_type_symbol
_atom_site_fract_x
_atom_site_fract_y
_atom_site_fract_z
Ba1 Ba 0.000 0.500 0.000
Cu1 Cu 0.000 0.000 0.000
Ge1 Ge 0.000 0.000 0.500
I1 I 0.500 0.500 0.500

No. 2
# Ca2CdHg, optimized geometry, DFT PBE
# **ΔE to the lowest computed polymorph**: 168 meV/atom
# **Calculated formation energy**: -0.29 eV per atom
# **Spin magnetization**: 0.0 μB per formula unit
data_Ca2CdHg
_space_group_name_H-M_alt 'C 1 2/m 1'
_space_group_IT_number 12
_space_group_name_Hall '-C 2y'
_cell_length_a 9.105
_cell_length_b 3.975
_cell_length_c 7.197
_cell_angle_alpha 90.00
_cell_angle_beta 103.76
_cell_angle_gamma 90.00
loop_
_atom_site_label
_atom_site_type_symbol
_atom_site_fract_x
_atom_site_fract_y
_atom_site_fract_z
Ca1 Ca 0.248 0.000 0.244
Cd1 Cd 0.000 0.000 0.500
Hg1 Hg 0.000 0.500 0.000